Entry 1:
{"formula": "Dy2TlN", "functional": "PBE", "state": "relaxed", "n_ef_per_ev_cell": 2.421, "space_group": "P4/mmm (123)", "total_energy_ev_per_cell": -21.635, "vol_a3_per_fu": 78, "lattice_angstrom": [[3.133, 0.000, 0.000], [0.000, 3.133, 0.000], [0.000, 0.000, 7.951]], "species": ["Dy", "Dy", "Tl", "N"], "frac_coords": [[0.000, 0.000, 0.180], [0.000, 0.000, 0.820], [0.500, 0.500, 0.500], [0.500, 0.500, 0.000]]}

---

Entry 2:
{"formula": "Dy2TlN", "functional": "PBE", "state": "relaxed", "n_ef_per_ev_cell": 2.546, "space_group": "R-3m (166)", "total_energy_ev_per_cell": -23.896, "vol_a3_per_fu": 86, "lattice_angstrom": [[1.774, 1.024, 7.874], [-1.774, 1.024, 7.874], [0.000, -2.048, 7.874]], "species": ["Dy", "Dy", "Tl", "N"], "frac_coords": [[0.223, 0.223, 0.223], [0.777, 0.777, 0.777], [0.000, 0.000, 0.000], [0.500, 0.500, 0.500]]}

---

Entry 3:
{"formula": "DyTm2TlN", "functional": "PBE", "state": "relaxed", "n_ef_per_ev_cell": 2.584, "space_group": "P4/mmm (123)", "total_energy_ev_per_cell": -28.990, "vol_a3_per_fu": 108, "lattice_angstrom": [[4.740, 0.000, 0.000], [0.000, 4.740, 0.000], [0.000, 0.000, 4.815]], "species": ["Dy", "Tm", "Tm", "Tl", "N"], "frac_coords": [[0.000, 0.000, 0.000], [0.000, 0.500, 0.500], [0.500, 0.000, 0.500], [0.500, 0.500, 0.000], [0.000, 0.000, 0.500]]}